No. 1
## YCrSn (GGA-PBE)

Data for YCrSn after structural relaxation.

- M_tot (μB per cell) = 1.19
- energy relative to the elements (eV/atom) = -0.14
- raw total energy (eV per cell) = -82.0

a = 3.5418 Å, b = 4.4515 Å, c = 17.6192 Å
α = 90.00°, β = 90.00°, γ = 90.00°
Last column: nearest neighbours and their distance in Å.
Space group Imm2 (No. 44)
Unique sites:
1 Y 0.0000 0.0000 0.0000  6 Cr 3.04-3.39, 6 Sn 3.29-3.36
2 Y 0.0000 0.0000 0.2060  2 Cr 3.17, 6 Sn 3.28-3.39, 2 Y 3.54
3 Cr 0.0000 0.0000 0.4390  2 Cr 2.31
4 Cr 0.0000 0.5000 0.8552  2 Cr 2.31
5 Sn 0.0000 0.0000 0.6018  1 Cr 2.87
6 Sn 0.0000 0.5000 0.3427  6 Cr 2.80-2.85

No. 2
## LaSbAs2Br (GGA-PBE)

Data for LaSbAs2Br after structural relaxation.

- ΔE_f (raw) (eV per atom) = 0.1839
- M_tot (μB per cell) = 0.14
- offset from the most stable computed form (meV/atom) = 363
- raw total energy (eV per cell) = -19.1

a = 5.8141 Å, b = 5.8141 Å, c = 5.5627 Å
α = 90.00°, β = 90.00°, γ = 90.00°
Last column: nearest neighbours and their distance in Å.
Space group P4/mmm (No. 123)
Unique sites:
1 La 0.0000 0.0000 0.0000  2 Br 2.78, 4 As 2.91
2 Sb 0.5000 0.5000 0.5000  8 As 4.02, 4 Br 4.11
3 As 0.0000 0.5000 0.0000  2 La 2.91
4 Br 0.0000 0.0000 0.5000  2 La 2.78

No. 3
## Pm2HoLu (GGA-PBE)

Data for Pm2HoLu after structural relaxation.

- M_tot (μB per cell) = 0.00
- energy relative to the elements (eV/atom) = 0.02
- offset from the most stable computed form (meV/atom) = 0
- raw total energy (eV per cell) = -55.6

a = 3.5766 Å, b = 3.5766 Å, c = 34.6515 Å
α = 90.00°, β = 90.00°, γ = 120.00°
Last column: nearest neighbours and their distance in Å.
Space group R-3m (No. 166, hexagonal axes)
Unique sites:
1 Pm 0.0000 0.0000 0.2493  3 Lu 3.53, 3 Ho 3.57, 6 Pm 3.58
2 Ho 0.0000 0.0000 0.0000  6 Pm 3.57, 6 Ho 3.58
3 Lu 0.0000 0.0000 0.5000  6 Pm 3.53, 6 Lu 3.58

No. 4
## AcLaMg6 (GGA-PBE)

Data for AcLaMg6 after structural relaxation.

- M_tot (μB per cell) = 0.00
- energy relative to the elements (eV/atom) = -0.07
- raw total energy (eV per cell) = -38.3

a = 5.2444 Å, b = 7.5164 Å, c = 11.6606 Å
α = 90.00°, β = 90.00°, γ = 90.00°
Last column: nearest neighbours and their distance in Å.
Space group Amm2 (No. 38)
Unique sites:
1 Ac 0.0000 0.0000 0.0000  12 Mg 3.47-3.77
2 La 0.5000 0.0000 0.7168  12 Mg 3.42-3.77
3 Mg 0.0000 0.0000 0.5287  8 Mg 3.18-3.51, 2 La 3.42
4 Mg 0.0000 0.2119 0.2655  7 Mg 3.17-3.51, 2 La 3.45, 2 Ac 3.48-3.49
5 Mg 0.5000 0.0000 0.1964  6 Mg 3.17-3.35, 2 Ac 3.48
6 Mg 0.5000 0.2072 0.4509  6 Mg 3.11-3.40, 1 La 3.47, 2 Ac 3.47

No. 5
## TiReMo (GGA-PBE)

Data for TiReMo after structural relaxation.

- M_tot (μB per cell) = 0.00
- energy relative to the elements (eV/atom) = -0.23
- offset from the most stable computed form (meV/atom) = 37
- raw total energy (eV per cell) = -63.7

a = 4.4680 Å, b = 4.4680 Å, c = 5.3534 Å
α = 90.00°, β = 90.00°, γ = 120.00°
Last column: nearest neighbours and their distance in Å.
Space group P-3m1 (No. 164)
Unique sites:
1 Ti 0.3333 0.6667 0.0877  2 Re 2.68, 3 Mo 2.72, 3 Ti 2.75
2 Re 0.3333 0.6667 0.5879  2 Ti 2.68, 3 Mo 2.73, 3 Re 2.75
3 Mo 0.0000 0.0000 0.2474  2 Mo 2.65-2.70, 3 Ti 2.72, 3 Re 2.73

No. 6
## BeGa (GGA-PBE)

Data for BeGa after structural relaxation.

- M_tot (μB per cell) = 0.00
- energy relative to the elements (eV/atom) = 0.16
- offset from the most stable computed form (meV/atom) = 0
- raw total energy (eV per cell) = -51.5

a = 8.1736 Å, b = 3.7120 Å, c = 7.1904 Å
α = 90.00°, β = 90.00°, γ = 90.00°
Last column: nearest neighbours and their distance in Å.
Space group Pnma (No. 62)
Unique sites:
1 Be 0.0120 0.2500 0.0940  5 Be 2.11-2.30
2 Be 0.1623 0.7500 0.1221  3 Be 2.11-2.23, 1 Ga 2.36
3 Ga 0.0507 0.2500 0.6534  2 Be 2.36-2.37
4 Ga 0.2281 0.2500 0.3170  5 Be 2.37-2.41

No. 7
## Sm3Dy3MgS8 (GGA-PBE)

Data for Sm3Dy3MgS8 after structural relaxation.

- ΔE_f (raw) (eV per atom) = -1.9770
- M_tot (μB per cell) = 0.00
- raw total energy (eV per cell) = -276.7

a = 7.8419 Å, b = 7.8419 Å, c = 19.4162 Å
α = 90.00°, β = 90.00°, γ = 120.00°
Last column: nearest neighbours and their distance in Å.
Space group R-3m (No. 166, hexagonal axes)
Unique sites:
1 Sm 0.0000 0.5000 0.0000  6 S 2.82
2 Dy 0.0000 0.5000 0.5000  6 S 2.75
3 Mg 0.0000 0.0000 0.5000  6 S 2.66
4 S 0.0000 0.0000 0.2469  3 Dy 2.75, 3 Sm 2.82
5 S 0.0102 0.5051 0.2445  1 Mg 2.66, 2 Dy 2.75, 2 Sm 2.82

No. 8
## Ba2Al4In3Pb (GGA-PBE)

Data for Ba2Al4In3Pb after structural relaxation.

- M_tot (μB per cell) = 0.00
- energy relative to the elements (eV/atom) = -0.23
- raw total energy (eV per cell) = -33.1

a = 4.9030 Å, b = 4.9030 Å, c = 11.5891 Å
α = 90.00°, β = 90.00°, γ = 90.00°
Last column: nearest neighbours and their distance in Å.
Space group P-4m2 (No. 115)
Unique sites:
1 Ba 0.0000 0.5000 0.2428  6 In 3.72-3.86, 8 Al 3.73-3.74, 2 Pb 3.86
2 Al 0.0000 0.0000 0.0000  4 In 2.86
3 Al 0.0000 0.5000 0.6354  3 In 2.75-2.91, 2 Pb 2.91
4 Al 0.5000 0.5000 0.0000  4 In 2.86
5 In 0.0000 0.5000 0.8729  5 Al 2.75-2.86
6 In 0.5000 0.5000 0.5000  4 Al 2.91
7 Pb 0.0000 0.0000 0.5000  4 Al 2.91

No. 9
## CrMo2Au (GGA-PBE)

Data for CrMo2Au after structural relaxation.

- M_tot (μB per cell) = 1.91
- energy relative to the elements (eV/atom) = 0.31
- offset from the most stable computed form (meV/atom) = 97
- raw total energy (eV per cell) = -66.6

a = 3.9998 Å, b = 3.9998 Å, c = 7.6880 Å
α = 90.00°, β = 90.00°, γ = 90.00°
Last column: nearest neighbours and their distance in Å.
Space group I-4m2 (No. 119)
Unique sites:
1 Cr 0.0000 0.0000 0.0000  8 Mo 2.77-2.83, 4 Au 2.77
2 Mo 0.0000 0.0000 0.5000  4 Mo 2.77, 4 Au 2.77, 4 Cr 2.83
3 Mo 0.0000 0.5000 0.7500  4 Cr 2.77, 4 Mo 2.77, 4 Au 2.83
4 Au 0.0000 0.5000 0.2500  4 Cr 2.77, 8 Mo 2.77-2.83

No. 10
## Ag7GeAu12 (GGA-PBE)

Data for Ag7GeAu12 after structural relaxation.

- M_tot (μB per cell) = 0.00
- energy relative to the elements (eV/atom) = 0.07
- raw total energy (eV per cell) = -187.3

a = 9.9259 Å, b = 9.9259 Å, c = 13.4581 Å
α = 90.00°, β = 90.00°, γ = 120.00°
Last column: nearest neighbours and their distance in Å.
Space group R-3 (No. 148, hexagonal axes)
Unique sites:
1 Ag 0.0000 0.0000 0.0000  6 Au 2.75
2 Ag 0.0536 0.1883 0.2923  3 Ag 2.84-2.89, 7 Au 2.85-3.18
3 Ge 0.0000 0.0000 0.5000  6 Au 2.71
4 Au 0.0355 0.4565 0.2151  1 Ge 2.71, 5 Au 2.77-2.94, 2 Ag 2.95-2.99
5 Au 0.0485 0.5877 0.5863  3 Ag 2.75-3.03, 4 Au 2.77-2.84

No. 11
## La4Tb5Tl (GGA-PBE)

Data for La4Tb5Tl after structural relaxation.

- M_tot (μB per cell) = 0.00
- energy relative to the elements (eV/atom) = 0.02
- offset from the most stable computed form (meV/atom) = 0
- raw total energy (eV per cell) = -45.1

a = 4.2056 Å, b = 4.2056 Å, c = 18.6000 Å
α = 90.00°, β = 90.00°, γ = 90.00°
Last column: nearest neighbours and their distance in Å.
Space group P4/mmm (No. 123)
Unique sites:
1 La 0.0000 0.0000 0.1044  8 Tb 3.55-3.57, 2 La 3.75-3.88
2 La 0.0000 0.0000 0.3061  8 Tb 3.46-3.59, 1 Tl 3.61, 1 La 3.75
3 Tb 0.5000 0.5000 0.0000  8 La 3.55, 2 Tb 3.92
4 Tb 0.5000 0.5000 0.2106  8 La 3.46-3.57, 1 Tb 3.78
5 Tb 0.5000 0.5000 0.4137  1 Tb 3.21, 4 Tl 3.38, 4 La 3.59
6 Tl 0.0000 0.0000 0.5000  8 Tb 3.38, 2 La 3.61

No. 12
## ZnTeSe (GGA-PBE)

Data for ZnTeSe after structural relaxation.

- ΔE_f (raw) (eV per atom) = -0.1642
- M_tot (μB per cell) = 0.00
- offset from the most stable computed form (meV/atom) = 179
- raw total energy (eV per cell) = -16.8

a = 3.2770 Å, b = 3.2770 Å, c = 16.5837 Å
α = 90.00°, β = 90.00°, γ = 90.00°
Last column: nearest neighbours and their distance in Å.
Space group I4mm (No. 107)
Unique sites:
1 Zn 0.0000 0.0000 0.0000  4 Se 2.60, 1 Te 2.63
2 Te 0.0000 0.0000 0.1583  1 Zn 2.63
3 Se 0.0000 0.0000 0.4285  4 Zn 2.60

- Look up the M_tot of the third one.
  0.00 μB per cell

- Among the records above, which one has the highest raw total energy?
  ZnTeSe